Tb5Tl2Pd2 | GGA-PBE | optimized geometry

Calculated values
- N(E_F): 17.36 states/eV/cell
- Theoretical density: 9.6 g/cm³
- Raw total energy: -4.782 eV/atom
- ΔH_f (0 K): -0.53 eV per atom

Lattice parameters (Å, degrees): 8.910 8.910 7.274 90.00 90.00 57.63
Positions (direct):
Tb 0.000 0.000 0.000
Tb 0.058 0.696 0.653
Tb 0.196 0.558 0.153
Tb 0.304 0.942 0.653
Tb 0.442 0.804 0.153
Tb 0.500 0.500 0.500
Tb 0.558 0.196 0.847
Tb 0.696 0.058 0.347
Tb 0.804 0.442 0.847
Tb 0.942 0.304 0.347
Tl 0.212 0.212 0.000
Tl 0.288 0.288 0.500
Tl 0.712 0.712 0.500
Tl 0.788 0.788 0.000
Pd 0.121 0.879 0.364
Pd 0.379 0.621 0.864
Pd 0.621 0.379 0.136
Pd 0.879 0.121 0.636

---

TbTlPd | GGA-PBE | optimized geometry

Calculated values
- N(E_F): 1.03 states/eV/cell
- Theoretical density: 11.3 g/cm³
- Raw total energy: -4.576 eV/atom
- ΔH_f (0 K): -0.51 eV per atom

Lattice parameters (Å, degrees): 5.497 5.497 5.497 139.70 139.70 58.30
Positions (direct):
Tb 0.000 0.000 0.000
Tl 0.685 0.685 0.000
Pd 0.352 0.352 0.000

---

Q: What is the raw total energy in the second record?
A: -4.576 eV/atom

---

Q: The highest raw total energy belongs to which entry?
A: TbTlPd

---

Q: The highest ΔH_f (0 K) belongs to which entry?
A: TbTlPd

---

Q: What is the formula in the first record?
A: Tb5Tl2Pd2